Record 1
# PBE Hf2InO, relaxed
# * energy relative to the elements, uncorrected: -428 kJ/mol of formula units
# * final energy: -8.011 eV/atom
# * energy relative to the lowest polymorph listed for this composition: 0.353 eV per formula unit
# * V: 155 Å³ per cell
data_Hf2InO
_chemical_formula_sum 'Hf4 In2 O2'
_space_group_name_H-M_alt 'P 1'
_space_group_IT_number 1
_cell_length_a 5.861
_cell_length_b 5.861
_cell_length_c 5.861
_cell_angle_alpha 110.81
_cell_angle_beta 110.81
_cell_angle_gamma 106.83
loop_
_space_group_symop_operation_xyz
'x,y,z'
loop_
_atom_site_label
_atom_site_type_symbol
_atom_site_fract_x
_atom_site_fract_y
_atom_site_fract_z
_atom_site_occupancy
Hf1 Hf 0.011 0.625 0.886 1
Hf2 Hf 0.375 0.261 0.386 1
Hf3 Hf 0.739 0.125 0.114 1
Hf4 Hf 0.875 0.989 0.614 1
In1 In 0.250 0.750 0.500 1
In2 In 0.500 0.500 0.000 1
O1 O 0.000 0.000 0.000 1
O2 O 0.750 0.250 0.500 1


Record 2
# PBE HfIn2O, relaxed
# * energy relative to the elements, uncorrected: -79 kJ/mol of formula units
# * final energy: -5.301 eV/atom
# * V: 155 Å³ per cell
data_HfIn2O
_chemical_formula_sum 'Hf2 In4 O2'
_space_group_name_H-M_alt 'P 1'
_space_group_IT_number 1
_cell_length_a 5.902
_cell_length_b 5.902
_cell_length_c 5.902
_cell_angle_alpha 104.95
_cell_angle_beta 104.95
_cell_angle_gamma 118.95
loop_
_space_group_symop_operation_xyz
'x,y,z'
loop_
_atom_site_label
_atom_site_type_symbol
_atom_site_fract_x
_atom_site_fract_y
_atom_site_fract_z
_atom_site_occupancy
Hf1 Hf 0.000 0.000 0.000 1
Hf2 Hf 0.750 0.250 0.500 1
In1 In 0.195 0.125 0.570 1
In2 In 0.375 0.805 0.930 1
In3 In 0.555 0.625 0.430 1
In4 In 0.875 0.445 0.070 1
O1 O 0.250 0.750 0.500 1
O2 O 0.500 0.500 0.000 1


Record 3
# PBE Hf2InO, relaxed
# * energy relative to the elements, uncorrected: -445 kJ/mol of formula units
# * final energy: -8.055 eV/atom
# * energy relative to the lowest polymorph listed for this composition: 0.179 eV per formula unit
# * V: 69 Å³ per cell
data_Hf2InO
_chemical_formula_sum 'Hf2 In1 O1'
_space_group_name_H-M_alt 'P 1'
_space_group_IT_number 1
_cell_length_a 7.739
_cell_length_b 7.739
_cell_length_c 7.739
_cell_angle_alpha 24.22
_cell_angle_beta 24.22
_cell_angle_gamma 24.22
loop_
_space_group_symop_operation_xyz
'x,y,z'
loop_
_atom_site_label
_atom_site_type_symbol
_atom_site_fract_x
_atom_site_fract_y
_atom_site_fract_z
_atom_site_occupancy
Hf1 Hf 0.224 0.224 0.224 1
Hf2 Hf 0.776 0.776 0.776 1
In1 In 0.000 0.000 0.000 1
O1 O 0.500 0.500 0.500 1


Record 4
# PBE Hf6In2O, relaxed
# * energy relative to the elements, uncorrected: -581 kJ/mol of formula units
# * final energy: -8.464 eV/atom
# * V: 177 Å³ per cell
data_Hf6In2O
_chemical_formula_sum 'Hf6 In2 O1'
_space_group_name_H-M_alt 'P 1'
_space_group_IT_number 1
_cell_length_a 6.304
_cell_length_b 6.304
_cell_length_c 6.304
_cell_angle_alpha 119.93
_cell_angle_beta 119.93
_cell_angle_gamma 90.13
loop_
_space_group_symop_operation_xyz
'x,y,z'
loop_
_atom_site_label
_atom_site_type_symbol
_atom_site_fract_x
_atom_site_fract_y
_atom_site_fract_z
_atom_site_occupancy
Hf1 Hf 0.241 0.241 0.000 1
Hf2 Hf 0.241 0.241 0.483 1
Hf3 Hf 0.241 0.759 0.000 1
Hf4 Hf 0.759 0.241 0.000 1
Hf5 Hf 0.759 0.759 0.000 1
Hf6 Hf 0.759 0.759 0.517 1
In1 In 0.250 0.750 0.500 1
In2 In 0.750 0.250 0.500 1
O1 O 0.500 0.500 0.000 1


Record 5
# PBE HfInOsO6, relaxed
# * energy relative to the elements, uncorrected: -1638 kJ/mol of formula units
# * final energy: -7.850 eV/atom
# * V: 226 Å³ per cell
data_HfInOsO6
_chemical_formula_sum 'Hf2 In2 Os2 O12'
_space_group_name_H-M_alt 'P 1'
_space_group_IT_number 1
_cell_length_a 5.279
_cell_length_b 5.279
_cell_length_c 9.350
_cell_angle_alpha 90.00
_cell_angle_beta 90.00
_cell_angle_gamma 120.00
loop_
_space_group_symop_operation_xyz
'x,y,z'
loop_
_atom_site_label
_atom_site_type_symbol
_atom_site_fract_x
_atom_site_fract_y
_atom_site_fract_z
_atom_site_occupancy
Hf1 Hf 0.333 0.667 0.250 1
Hf2 Hf 0.667 0.333 0.750 1
In1 In 0.000 0.000 0.000 1
In2 In 0.000 0.000 0.500 1
Os1 Os 0.333 0.667 0.750 1
Os2 Os 0.667 0.333 0.250 1
O1 O 0.014 0.356 0.633 1
O2 O 0.014 0.658 0.867 1
O3 O 0.342 0.356 0.867 1
O4 O 0.342 0.986 0.633 1
O5 O 0.356 0.014 0.133 1
O6 O 0.356 0.342 0.367 1
O7 O 0.644 0.658 0.633 1
O8 O 0.644 0.986 0.867 1
O9 O 0.658 0.014 0.367 1
O10 O 0.658 0.644 0.133 1
O11 O 0.986 0.342 0.133 1
O12 O 0.986 0.644 0.367 1


Record 6
# PBE Hf2InOsO, relaxed
# * energy relative to the elements, uncorrected: -288 kJ/mol of formula units
# * final energy: -8.363 eV/atom
# * V: 82 Å³ per cell
data_Hf2InOsO
_chemical_formula_sum 'Hf2 In1 Os1 O1'
_space_group_name_H-M_alt 'P 1'
_space_group_IT_number 1
_cell_length_a 4.398
_cell_length_b 4.398
_cell_length_c 4.239
_cell_angle_alpha 90.00
_cell_angle_beta 90.00
_cell_angle_gamma 90.00
loop_
_space_group_symop_operation_xyz
'x,y,z'
loop_
_atom_site_label
_atom_site_type_symbol
_atom_site_fract_x
_atom_site_fract_y
_atom_site_fract_z
_atom_site_occupancy
Hf1 Hf 0.000 0.500 0.000 1
Hf2 Hf 0.500 0.000 0.000 1
In1 In 0.000 0.000 0.500 1
Os1 Os 0.500 0.500 0.500 1
O1 O 0.500 0.500 0.000 1


What is the formula in the fifth record?
HfInOsO6